# 1
Material: GaP2Au
Method: DFT, PBE
State: optimized geometry

* M_tot: 0.000 μB per formula unit
* formation enthalpy at 0 K: -0.021 eV per atom
* symmetry: P1 (1)
* mass density: 7.2 g/cm3
* N(E_F): 2.67 states/eV per cell

abc: 5.450 5.517 6.110
angles: 69.03 64.02 71.08
Fractional positions:
Au 0.394 0.871 0.258
Au 0.952 0.581 0.079
P 0.105 0.541 0.416
P 0.628 0.091 0.579
Ga 0.906 0.082 0.100
P 0.210 0.107 0.601
Ga 0.461 0.322 0.914
P 0.757 0.658 0.761

# 2
Material: GaP2Au
Method: DFT, PBE
State: optimized geometry

* M_tot: 0.000 μB per formula unit
* formation enthalpy at 0 K: -0.093 eV per atom
* symmetry: P1 (1)
* mass density: 6.6 g/cm3
* N(E_F): 1.75 states/eV per cell

abc: 4.991 5.840 6.723
angles: 68.46 79.22 65.95
Fractional positions:
P 0.853 0.473 0.615
Ga 0.097 0.966 0.272
P 0.670 0.161 0.739
Ga 0.120 0.813 0.893
P 0.604 0.138 0.435
Au 0.174 0.308 0.919
Au 0.125 0.496 0.270
P 0.437 0.818 0.565

# 3
Material: GaP2Au
Method: DFT, PBE
State: optimized geometry

* M_tot: 0.000 μB per formula unit
* formation enthalpy at 0 K: -0.045 eV per atom
* symmetry: Cm (8)
* mass density: 6.3 g/cm3
* N(E_F): 2.64 states/eV per cell

abc: 6.450 4.093 7.020
angles: 90.00 110.38 90.00
Fractional positions:
Ga 0.450 0.000 0.509
P 0.955 0.000 0.015
P 0.955 0.500 0.515
P 0.317 0.500 0.633
Au 0.877 0.500 0.155
Au 0.877 0.000 0.655
P 0.317 0.000 0.133
Ga 0.450 0.500 0.009

# 4
Material: GaP2Au
Method: DFT, PBE
State: optimized geometry

* M_tot: 0.000 μB per formula unit
* formation enthalpy at 0 K: -0.038 eV per atom
* symmetry: P1 (1)
* mass density: 6.3 g/cm3
* N(E_F): 1.43 states/eV per cell

abc: 4.044 4.992 5.270
angles: 90.64 112.96 115.08
Fractional positions:
Ga 0.997 0.480 0.265
Au 0.459 0.947 0.730
P 0.023 0.838 0.969
P 0.401 0.214 0.348

# 5
Material: GaP2Au
Method: DFT, PBE
State: optimized geometry

* M_tot: 0.000 μB per formula unit
* formation enthalpy at 0 K: -0.009 eV per atom
* symmetry: I-42d (122)
* mass density: 6.4 g/cm3
* N(E_F): 3.38 states/eV per cell

abc: 5.571 5.571 6.760
angles: 65.67 65.67 90.00
Fractional positions:
P 0.620 0.125 0.250
Ga 0.500 0.500 0.000
Au 0.000 0.000 0.000
P 0.875 0.870 0.750
P 0.375 0.380 0.750
Ga 0.250 0.750 0.500
Au 0.750 0.250 0.500
P 0.130 0.625 0.250

# 6
Material: GaPAu3
Method: DFT, PBE
State: optimized geometry

* M_tot: 0.000 μB per formula unit
* formation enthalpy at 0 K: 0.786 eV per atom
* symmetry: Pm-3m (221)
* mass density: 10.2 g/cm3
* ΔE to the lowest computed polymorph: 602 meV/atom
* N(E_F): 4.39 states/eV per cell

abc: 4.835 4.835 4.835
angles: 90.00 90.00 90.00
Fractional positions:
P 0.500 0.500 0.500
Ga 0.000 0.000 0.000
Au 0.500 0.000 0.000
Au 0.000 0.500 0.000
Au 0.000 0.000 0.500